Compound: Rb3Sr2IrO6
Source: the Alexandria database
Functional: PBE
Structure: relaxed

The structure in POSCAR format:
```
Rb3Sr2IrO6
1.0
-4.866 -3.166 -2.117
5.618 -1.037 -2.355
0.773 -3.147 5.929
O Sr Rb Ir
6 2 3 1
Direct
0.783 0.783 0.180 O
0.060 0.335 0.178 O
0.335 0.060 0.178 O
0.665 0.940 0.822 O
0.940 0.665 0.822 O
0.217 0.217 0.820 O
0.333 0.667 0.000 Sr
0.667 0.333 0.000 Sr
0.500 0.500 0.500 Rb
0.165 0.835 0.500 Rb
0.835 0.165 0.500 Rb
0.000 0.000 0.000 Ir
```

Values from the calculation:
**E_form (uncorrected)**: -1.63 eV per atom
**Size of the total moment**: 2.01 μB/f.u.

Compound: MnCo2P
Source: the Alexandria database
Functional: PBE
Structure: relaxed

The structure in POSCAR format:
```
MnCo2P
1.0
4.689 0.004 0.003
2.212 4.134 -0.003
-2.995 -2.828 2.239
Co Mn P
2 1 1
Direct
0.249 0.749 0.500 Co
0.969 0.969 0.000 Co
0.526 0.526 0.000 Mn
0.756 0.256 0.500 P
```

Values from the calculation:
**Energy of formation from the pure elements**: -0.1856 eV/atom
**Size of the total moment**: 3.12 μB/f.u.

Compound: TaRe5
Source: the Alexandria database
Functional: PBE
Structure: relaxed

The structure in POSCAR format:
```
TaRe5
1.0
5.314 1.917 -4.816
-5.793 0.813 4.570
2.866 0.818 3.488
Re Ta
5 1
Direct
0.997 0.003 0.000 Re
0.333 0.667 0.000 Re
0.781 0.219 0.500 Re
0.440 0.560 0.500 Re
0.671 0.329 0.000 Re
0.111 0.889 0.500 Ta
```

Values from the calculation:
**Energy of formation from the pure elements**: 0.0937 eV/atom
**Size of the total moment**: 0.00 μB/f.u.
**Energy relative to the lowest polymorph listed for this composition**: 72 meV/atom

Compound: RbHg3Se
Source: the Alexandria database
Functional: PBE
Structure: relaxed

The structure in POSCAR format:
```
RbHg3Se
1.0
6.714 0.000 0.000
0.000 6.714 0.000
0.000 0.000 6.714
Rb Hg Se
1 3 1
Direct
0.000 0.000 0.000 Rb
0.000 0.000 0.500 Hg
0.500 0.000 0.000 Hg
0.000 0.500 0.000 Hg
0.500 0.500 0.500 Se
```

Values from the calculation:
**E_form (uncorrected)**: 0.32 eV per atom
**Size of the total moment**: 1.00 μB/f.u.
**Energy relative to the lowest polymorph listed for this composition**: 336 meV/atom

Compound: RbPmAg2Br8
Source: the Alexandria database
Functional: PBE
Structure: relaxed

The structure in POSCAR format:
```
RbPmAg2Br8
1.0
-4.981 5.181 -0.676
-2.581 -3.252 -5.905
-1.168 -5.141 7.754
Rb Ag Pm Br
1 2 1 8
Direct
0.750 0.250 0.500 Rb
0.250 0.750 0.500 Ag
0.500 0.500 0.000 Ag
0.000 0.000 0.000 Pm
0.388 0.270 0.120 Br
0.029 0.370 0.317 Br
0.288 0.947 0.317 Br
0.053 0.971 0.683 Br
0.730 0.267 0.880 Br
0.149 0.612 0.880 Br
0.733 0.851 0.120 Br
0.630 0.712 0.683 Br
```

Values from the calculation:
**E_form (uncorrected)**: -0.94 eV per atom
**Size of the total moment**: 0.00 μB/f.u.

Compound: InReAs2Br
Source: the Alexandria database
Functional: PBE
Structure: relaxed

The structure in POSCAR format:
```
InReAs2Br
1.0
-2.231 2.297 -3.546
1.421 -3.369 -3.076
-4.753 -2.976 1.063
Br In As Re
1 1 2 1
Direct
0.000 0.000 0.500 Br
0.500 0.500 0.500 In
0.000 0.500 0.000 As
0.500 0.000 0.000 As
0.000 0.000 0.000 Re
```

Values from the calculation:
**E_form (uncorrected)**: 0.30 eV per atom
**Size of the total moment**: 0.00 μB/f.u.
**Energy relative to the lowest polymorph listed for this composition**: 0 meV/atom

Compound: Ac2GeHRh
Source: the Alexandria database
Functional: PBE
Structure: relaxed

The structure in POSCAR format:
```
Ac2GeHRh
1.0
-1.502 3.222 2.823
-5.797 -0.195 -2.861
-0.263 -5.696 6.361
Rh Ge Ac H
2 2 4 2
Direct
0.750 0.456 0.236 Rh
0.250 0.544 0.764 Rh
0.750 0.318 0.704 Ge
0.250 0.682 0.296 Ge
0.250 0.246 0.966 Ac
0.750 0.767 0.585 Ac
0.250 0.233 0.415 Ac
0.750 0.754 0.034 Ac
0.250 0.824 0.836 H
0.750 0.176 0.164 H
```

Values from the calculation:
**Size of the total moment**: 0.00 μB/f.u.
**Electronic total energy**: -5.388 eV/atom

Compound: La4MoCl
Source: the Alexandria database
Functional: PBE
Structure: relaxed

The structure in POSCAR format:
```
La4MoCl
1.0
0.000 4.504 4.504
4.504 0.000 4.504
4.504 4.504 0.000
Cl La Mo
1 4 1
Direct
0.000 0.000 0.000 Cl
0.869 0.377 0.377 La
0.377 0.377 0.869 La
0.377 0.869 0.377 La
0.377 0.377 0.377 La
0.750 0.750 0.750 Mo
```

Values from the calculation:
**E_form (uncorrected)**: 0.67 eV per atom
**Size of the total moment**: 1.56 μB/f.u.

Compound: ScMo2Rh
Source: the Alexandria database
Functional: PBE
Structure: relaxed

The structure in POSCAR format:
```
ScMo2Rh
1.0
-3.059 2.618 2.431
-1.992 -3.907 1.701
1.854 0.048 2.281
Mo Sc Rh
2 1 1
Direct
0.500 0.500 0.000 Mo
0.000 0.000 0.000 Mo
0.000 0.500 0.500 Sc
0.500 0.000 0.500 Rh
```

Values from the calculation:
**Energy of formation from the pure elements**: 0.1802 eV/atom
**Size of the total moment**: 0.00 μB/f.u.
**Energy relative to the lowest polymorph listed for this composition**: 398 meV/atom

Compound: YCrSb2Te
Source: the Alexandria database
Functional: PBE
Structure: relaxed

The structure in POSCAR format:
```
YCrSb2Te
1.0
-1.084 4.113 -2.690
-3.461 -2.594 -2.573
-3.849 1.429 3.736
Te Cr Sb Y
1 1 2 1
Direct
0.000 0.000 0.500 Te
0.000 0.000 0.000 Cr
0.000 0.500 0.000 Sb
0.500 0.000 0.000 Sb
0.500 0.500 0.500 Y
```

Values from the calculation:
**E_form (uncorrected)**: 0.02 eV per atom
**Size of the total moment**: 2.55 μB/f.u.
**Energy relative to the lowest polymorph listed for this composition**: 0 meV/atom

Compound: LaPClO2
Source: the Alexandria database
Functional: PBE
Structure: relaxed

The structure in POSCAR format:
```
LaPClO2
1.0
4.289 0.000 0.000
0.000 4.289 0.000
0.000 0.000 4.380
P O Cl La
1 2 1 1
Direct
0.000 0.000 0.500 P
0.500 0.000 0.000 O
0.000 0.500 0.000 O
0.000 0.000 0.000 Cl
0.500 0.500 0.500 La
```

Values from the calculation:
**E_form (uncorrected)**: -0.39 eV per atom
**Size of the total moment**: 0.00 μB/f.u.
**Energy relative to the lowest polymorph listed for this composition**: 316 meV/atom

Compound: MgGa5Rh3
Source: the Alexandria database
Functional: PBE
Structure: relaxed

The structure in POSCAR format:
```
MgGa5Rh3
1.0
-5.262 2.637 -2.509
-3.080 -5.561 0.717
-8.190 0.302 6.306
Rh Ga Mg
6 10 2
Direct
0.658 0.658 0.332 Rh
0.347 0.347 0.170 Rh
0.000 0.000 0.500 Rh
0.653 0.653 0.830 Rh
0.342 0.342 0.668 Rh
0.000 0.000 0.000 Rh
0.332 0.332 0.429 Ga
0.679 0.679 0.078 Ga
0.064 0.599 0.666 Ga
0.401 0.936 0.334 Ga
0.321 0.321 0.922 Ga
0.599 0.064 0.666 Ga
0.936 0.401 0.334 Ga
0.735 0.265 0.000 Ga
0.668 0.668 0.571 Ga
0.265 0.735 0.000 Ga
0.003 0.003 0.752 Mg
0.997 0.997 0.248 Mg
```

Values from the calculation:
**Energy of formation from the pure elements**: -0.4412 eV/atom
**Size of the total moment**: 0.00 μB/f.u.

Compound: LiTmGe2
Source: the Alexandria database
Functional: PBE
Structure: relaxed

The structure in POSCAR format:
```
LiTmGe2
1.0
3.476 0.000 0.000
0.000 3.476 0.000
0.000 0.000 6.268
Ge Li Tm
2 1 1
Direct
0.000 0.000 0.788 Ge
0.000 0.000 0.212 Ge
0.500 0.500 0.000 Li
0.500 0.500 0.500 Tm
```

Values from the calculation:
**Energy of formation from the pure elements**: -0.4177 eV/atom
**Size of the total moment**: 0.00 μB/f.u.
**Energy relative to the lowest polymorph listed for this composition**: 160 meV/atom

Compound: Cr3InSi
Source: the Alexandria database
Functional: PBE
Structure: relaxed

The structure in POSCAR format:
```
Cr3InSi
1.0
5.027 0.000 0.000
0.000 5.027 0.000
0.000 0.000 5.027
Cr Si In
3 1 1
Direct
0.000 0.000 0.500 Cr
0.000 0.500 0.000 Cr
0.500 0.000 0.000 Cr
0.500 0.500 0.500 Si
0.000 0.000 0.000 In
```

Values from the calculation:
**E_form (uncorrected)**: 1.74 eV per atom
**Size of the total moment**: 11.64 μB/f.u.
**Energy relative to the lowest polymorph listed for this composition**: 869 meV/atom

Compound: SrAc2Ag4
Source: the Alexandria database
Functional: PBE
Structure: relaxed

The structure in POSCAR format:
```
SrAc2Ag4
1.0
5.185 0.000 1.620
2.339 4.627 1.620
-0.114 -0.070 9.472
Ac Ag Sr
2 4 1
Direct
0.241 0.241 0.276 Ac
0.759 0.759 0.724 Ac
0.879 0.879 0.362 Ag
0.370 0.370 0.890 Ag
0.121 0.121 0.638 Ag
0.630 0.630 0.110 Ag
0.000 0.000 0.000 Sr
```

Values from the calculation:
**Energy of formation from the pure elements**: -0.0668 eV/atom
**Size of the total moment**: 0.00 μB/f.u.

Compound: KNdHf2O6
Source: the Alexandria database
Functional: PBE
Structure: relaxed

The structure in POSCAR format:
```
KNdHf2O6
1.0
-1.003 0.990 5.654
-5.145 -1.418 2.338
-0.377 -4.470 3.718
O Hf Nd K
6 2 1 1
Direct
0.500 0.000 0.000 O
0.000 0.000 0.500 O
0.000 0.500 0.000 O
0.500 0.000 0.500 O
0.000 0.500 0.500 O
0.500 0.500 0.000 O
0.750 0.750 0.750 Hf
0.250 0.250 0.250 Hf
0.000 0.000 0.000 Nd
0.500 0.500 0.500 K
```

Values from the calculation:
**E_form (uncorrected)**: -3.13 eV per atom
**Size of the total moment**: 0.00 μB/f.u.

Compound: K2La2BiO6
Source: the Alexandria database
Functional: PBE
Structure: relaxed

The structure in POSCAR format:
```
K2La2BiO6
1.0
6.313 -0.005 0.125
-3.124 5.486 0.125
-1.072 -1.843 6.349
O La Bi K
6 2 1 2
Direct
0.250 0.250 0.314 O
0.750 0.750 0.686 O
0.045 0.374 0.679 O
0.626 0.955 0.321 O
0.374 0.045 0.679 O
0.955 0.626 0.321 O
0.665 0.335 0.500 La
0.335 0.665 0.500 La
0.000 0.000 0.500 Bi
0.840 0.160 0.000 K
0.160 0.840 0.000 K
```

Values from the calculation:
**E_form (uncorrected)**: -2.20 eV per atom
**Size of the total moment**: 0.93 μB/f.u.

Compound: HoPa2NbC4
Source: the Alexandria database
Functional: PBE
Structure: relaxed

The structure in POSCAR format:
```
HoPa2NbC4
1.0
-4.750 -1.935 -4.718
4.367 -4.882 -2.379
-1.674 0.229 6.813
C Ho Pa Nb
8 2 4 2
Direct
0.268 0.750 0.509 C
0.750 0.232 0.991 C
0.732 0.250 0.491 C
0.252 0.248 0.016 C
0.250 0.768 0.009 C
0.748 0.752 0.984 C
0.748 0.752 0.516 C
0.252 0.248 0.484 C
0.000 0.500 0.500 Ho
0.000 0.500 0.000 Ho
0.500 0.500 0.000 Pa
0.000 0.000 0.500 Pa
0.500 0.000 0.500 Pa
0.500 0.000 0.000 Pa
0.000 0.000 0.000 Nb
0.500 0.500 0.500 Nb
```

Values from the calculation:
**Energy of formation from the pure elements**: -0.4221 eV/atom
**Size of the total moment**: 0.00 μB/f.u.

Compound: CaZrOs2
Source: the Alexandria database
Functional: PBE
Structure: relaxed

The structure in POSCAR format:
```
CaZrOs2
1.0
-2.880 0.546 -1.532
-1.194 -2.826 1.238
-2.323 3.428 5.588
Os Ca Zr
2 1 1
Direct
0.000 0.000 0.031 Os
0.000 0.000 0.469 Os
0.500 0.500 0.750 Ca
0.500 0.500 0.250 Zr
```

Values from the calculation:
**Energy of formation from the pure elements**: 0.1199 eV/atom
**Size of the total moment**: 0.00 μB/f.u.

Compound: BeZnMo2
Source: the Alexandria database
Functional: PBE
Structure: relaxed

The structure in POSCAR format:
```
BeZnMo2
1.0
8.964 0.005 0.003
8.544 2.712 0.003
8.544 1.326 2.366
Zn Mo Be
1 2 1
Direct
0.493 0.493 0.493 Zn
0.249 0.249 0.249 Mo
0.007 0.007 0.007 Mo
0.751 0.751 0.751 Be
```

Values from the calculation:
**Energy of formation from the pure elements**: 0.3157 eV/atom
**Size of the total moment**: 0.00 μB/f.u.
**Energy relative to the lowest polymorph listed for this composition**: 233 meV/atom